First-principles (PBE) data for crystalline AuIF2 at its relaxed geometry, as listed in the Alexandria database.

Cell lengths 4.528, 4.528, 4.528 Å; angles 60.00, 60.00, 60.00 degrees
Sites, in units of the cell vectors:
Au: 0.000 0.000 0.000
I: 0.500 0.500 0.500
F: 0.250 0.250 0.250
F: 0.750 0.750 0.750

Summary:
N(E_F) (states/eV per cell): 4.06
ΔE to the lowest computed polymorph (eV/atom): 0.287
Raw formation energy (eV/atom): -0.1906
Calculated total energy (eV/f.u.): -9.3


First-principles (PBE) data for crystalline AuIF2 at its relaxed geometry, as listed in the Alexandria database.

Cell lengths 9.160, 9.160, 9.160 Å; angles 20.09, 20.09, 20.09 degrees
Sites, in units of the cell vectors:
Au: 0.000 0.000 0.000
I: 0.500 0.500 0.500
F: 0.073 0.073 0.073
F: 0.927 0.927 0.927

Summary:
N(E_F) (states/eV per cell): 3.31
ΔE to the lowest computed polymorph (eV/atom): 0.000
Raw formation energy (eV/atom): -0.4781
Calculated total energy (eV/f.u.): -10.5


First-principles (PBE) data for crystalline AuIN2F at its relaxed geometry, as listed in the Alexandria database.

Cell lengths 4.183, 4.183, 4.363 Å; angles 90.00, 90.00, 90.00 degrees
Sites, in units of the cell vectors:
Au: 0.000 0.000 0.000
I: 0.500 0.500 0.500
N: 0.000 0.500 0.000
N: 0.500 0.000 0.000
F: 0.000 0.000 0.500

Summary:
N(E_F) (states/eV per cell): 4.09
ΔE to the lowest computed polymorph (eV/atom): 0.000
Raw formation energy (eV/atom): 1.4387
Calculated total energy (eV/f.u.): -16.2


First-principles (PBE) data for crystalline AuIN2F at its relaxed geometry, as listed in the Alexandria database.

Cell lengths 4.031, 4.031, 7.248 Å; angles 90.00, 90.00, 90.00 degrees
Sites, in units of the cell vectors:
Au: 0.000 0.000 0.000
I: 0.500 0.500 0.000
N: 0.000 0.500 0.500
N: 0.500 0.000 0.500
F: 0.500 0.500 0.500

Summary:
N(E_F) (states/eV per cell): 3.51
ΔE to the lowest computed polymorph (eV/atom): 0.537
Raw formation energy (eV/atom): 1.9758
Calculated total energy (eV/f.u.): -13.5


First-principles (PBE) data for crystalline AuIN2F at its relaxed geometry, as listed in the Alexandria database.

Cell lengths 4.098, 4.098, 4.527 Å; angles 90.00, 90.00, 90.00 degrees
Sites, in units of the cell vectors:
Au: 0.000 0.000 0.000
I: 0.500 0.500 0.500
N: 0.000 0.500 0.500
N: 0.500 0.000 0.500
F: 0.500 0.500 0.000

Summary:
N(E_F) (states/eV per cell): 2.05
ΔE to the lowest computed polymorph (eV/atom): 0.101
Raw formation energy (eV/atom): 1.5399
Calculated total energy (eV/f.u.): -15.7


First-principles (PBE) data for crystalline AuIN2F at its relaxed geometry, as listed in the Alexandria database.

Cell lengths 3.932, 3.932, 7.893 Å; angles 90.00, 90.00, 90.00 degrees
Sites, in units of the cell vectors:
Au: 0.000 0.000 0.000
I: 0.000 0.000 0.500
N: 0.000 0.500 0.000
N: 0.500 0.000 0.000
F: 0.500 0.500 0.500

Summary:
N(E_F) (states/eV per cell): 3.35
ΔE to the lowest computed polymorph (eV/atom): 0.005
Raw formation energy (eV/atom): 1.4440
Calculated total energy (eV/f.u.): -16.1


First-principles (PBE) data for crystalline NbAu2IF at its relaxed geometry, as listed in the Alexandria database.

Cell lengths 5.332, 5.332, 4.124 Å; angles 90.00, 90.00, 90.00 degrees
Sites, in units of the cell vectors:
Nb: 0.000 0.000 0.000
Au: 0.000 0.500 0.000
Au: 0.500 0.000 0.000
I: 0.500 0.500 0.500
F: 0.000 0.000 0.500

Summary:
N(E_F) (states/eV per cell): 3.73
Raw formation energy (eV/atom): -0.1227
Calculated total energy (eV/f.u.): -20.7


First-principles (PBE) data for crystalline AuIOF2 at its relaxed geometry, as listed in the Alexandria database.

Cell lengths 4.776, 4.776, 4.005 Å; angles 90.00, 90.00, 90.00 degrees
Sites, in units of the cell vectors:
Au: 0.000 0.000 0.000
I: 0.500 0.500 0.500
O: 0.500 0.500 0.000
F: 0.000 0.500 0.500
F: 0.500 0.000 0.500

Summary:
N(E_F) (states/eV per cell): 2.85
ΔE to the lowest computed polymorph (eV/atom): 0.000
Raw formation energy (eV/atom): -0.1169
Calculated total energy (eV/f.u.): -14.1


First-principles (PBE) data for crystalline AuI2OF at its relaxed geometry, as listed in the Alexandria database.

Cell lengths 5.164, 5.164, 3.948 Å; angles 90.00, 90.00, 90.00 degrees
Sites, in units of the cell vectors:
Au: 0.000 0.000 0.000
I: 0.000 0.500 0.500
I: 0.500 0.000 0.500
O: 0.500 0.500 0.000
F: 0.500 0.500 0.500

Summary:
N(E_F) (states/eV per cell): 5.95
ΔE to the lowest computed polymorph (eV/atom): 0.468
Raw formation energy (eV/atom): 0.7608
Calculated total energy (eV/f.u.): -9.4


First-principles (PBE) data for crystalline AuI2OF at its relaxed geometry, as listed in the Alexandria database.

Cell lengths 5.716, 5.716, 3.912 Å; angles 90.00, 90.00, 90.00 degrees
Sites, in units of the cell vectors:
Au: 0.000 0.000 0.000
I: 0.000 0.500 0.000
I: 0.500 0.000 0.000
O: 0.000 0.000 0.500
F: 0.500 0.500 0.500

Summary:
N(E_F) (states/eV per cell): 10.75
ΔE to the lowest computed polymorph (eV/atom): 0.000
Raw formation energy (eV/atom): 0.2925
Calculated total energy (eV/f.u.): -11.7


First-principles (PBE) data for crystalline AuIOF2 at its relaxed geometry, as listed in the Alexandria database.

Cell lengths 4.265, 4.265, 4.552 Å; angles 90.00, 90.00, 90.00 degrees
Sites, in units of the cell vectors:
Au: 0.000 0.000 0.000
I: 0.500 0.500 0.500
O: 0.000 0.000 0.500
F: 0.000 0.500 0.000
F: 0.500 0.000 0.000

Summary:
N(E_F) (states/eV per cell): 5.10
ΔE to the lowest computed polymorph (eV/atom): 0.041
Raw formation energy (eV/atom): -0.0760
Calculated total energy (eV/f.u.): -13.9


First-principles (PBE) data for crystalline Os2AuIF at its relaxed geometry, as listed in the Alexandria database.

Cell lengths 4.891, 4.891, 4.227 Å; angles 90.00, 90.00, 90.00 degrees
Sites, in units of the cell vectors:
Os: 0.000 0.500 0.000
Os: 0.500 0.000 0.000
Au: 0.000 0.000 0.500
I: 0.500 0.500 0.000
F: 0.500 0.500 0.500

Summary:
N(E_F) (states/eV per cell): 4.91
Raw formation energy (eV/atom): 1.6040
Calculated total energy (eV/f.u.): -21.1


Question: Among the records above, which one has the highest raw formation energy?
Answer: number 4